{"formula": "ScIBr2", "functional": "PBE-GGA", "state": "relaxed", "lattice": [[-5.1492, -4.5357, 1.5618], [6.2885, -3.1420, -0.3299], [0.2151, 5.5311, 5.3758]], "species": ["Br", "I", "Br", "Br", "Sc", "Sc", "I", "Br"], "frac_coords": [[0.2576, 0.2564, 0.1569], [0.5656, 0.8861, 0.6316], [0.0447, 0.6796, 0.7076], [0.6796, 0.0447, 0.2076], [0.1186, 0.4392, 0.4177], [0.4392, 0.1186, 0.9177], [0.8861, 0.5656, 0.1316], [0.2564, 0.2576, 0.6569]], "total_energy_ev_per_atom": -4.300, "polymorph_energy_ev_per_atom": 0.000, "dos_ef_per_ev_cell": 0.000, "spacegroup": "No. 9", "vol_a3_per_cell": 287, "raw_formation_energy_mev_per_atom": -1493}

---

{"formula": "ScIBr2", "functional": "PBE-GGA", "state": "relaxed", "lattice": [[-3.0507, 1.1434, -1.5932], [-3.3860, -6.1335, -2.0386], [-5.3433, -2.4952, 4.3010]], "species": ["Br", "Br", "Sc", "I"], "frac_coords": [[0.3962, 0.5896, 0.6176], [0.1031, 0.8824, 0.9103], [0.7500, 0.8646, 0.6354], [0.2507, 0.1634, 0.3366]], "total_energy_ev_per_atom": -4.282, "polymorph_energy_ev_per_atom": 0.017, "dos_ef_per_ev_cell": 0.000, "spacegroup": "No. 44", "vol_a3_per_cell": 164, "raw_formation_energy_mev_per_atom": -1476}

---

{"formula": "ScI3Br", "functional": "PBE-GGA", "state": "relaxed", "lattice": [[-3.8699, 1.9169, -4.0412], [-3.4582, -4.6714, 1.0958], [-2.8367, 3.0799, 4.1773]], "species": ["I", "I", "Br", "I", "Sc"], "frac_coords": [[0.5000, 0.0000, 0.0000], [0.0000, 0.0000, 0.5000], [0.0000, 0.0000, 0.0000], [0.0000, 0.5000, 0.0000], [0.5000, 0.5000, 0.5000]], "total_energy_ev_per_atom": -2.111, "polymorph_energy_ev_per_atom": 1.053, "dos_ef_per_ev_cell": 14.987, "spacegroup": "No. 221", "vol_a3_per_cell": 207, "raw_formation_energy_mev_per_atom": 420}

---

{"formula": "ScIBr", "functional": "PBE-GGA", "state": "relaxed", "lattice": [[3.9120, -0.0012, -0.0003], [0.0016, 6.6860, 0.6033], [1.8985, 3.1406, 7.8656]], "species": ["Br", "I", "Sc", "I", "Br", "Sc"], "frac_coords": [[0.6489, 0.9644, 0.7090], [0.8729, 0.5605, 0.2472], [0.7487, 0.7432, 0.5019], [0.1271, 0.4395, 0.7528], [0.3511, 0.0356, 0.2910], [0.2513, 0.2568, 0.4981]], "total_energy_ev_per_atom": -4.494, "polymorph_energy_ev_per_atom": 0.000, "dos_ef_per_ev_cell": 4.623, "spacegroup": "No. 2", "vol_a3_per_cell": 198, "raw_formation_energy_mev_per_atom": -1309}

---

{"formula": "ScI3Br", "functional": "PBE-GGA", "state": "relaxed", "lattice": [[-3.5437, -1.7451, 4.1573], [4.0904, -3.4685, 2.0307], [1.8965, 4.2202, 3.3881]], "species": ["I", "I", "I", "Br", "Sc"], "frac_coords": [[0.0000, 0.0000, 0.5000], [0.5000, 0.0000, 0.0000], [0.0000, 0.5000, 0.0000], [0.5000, 0.5000, 0.5000], [0.0000, 0.0000, 0.0000]], "total_energy_ev_per_atom": -3.164, "polymorph_energy_ev_per_atom": 0.000, "dos_ef_per_ev_cell": 6.583, "spacegroup": "No. 221", "vol_a3_per_cell": 189, "raw_formation_energy_mev_per_atom": -633}

---

{"formula": "Sc2I2Br", "functional": "PBE-GGA", "state": "relaxed", "lattice": [[3.7915, 0.0000, -0.7483], [-0.7843, 9.8619, -3.9740], [0.4491, -6.8633, 12.2550]], "species": ["Br", "Br", "Sc", "I", "Sc", "I", "I", "Sc", "Sc", "I"], "frac_coords": [[0.1735, 0.6912, 0.3469], [0.8265, 0.3088, 0.6531], [0.7242, 0.3214, 0.4484], [0.5956, 0.8588, 0.1911], [0.7851, 0.9640, 0.5701], [0.1229, 0.2489, 0.2457], [0.8771, 0.7511, 0.7543], [0.2758, 0.6786, 0.5516], [0.2149, 0.0360, 0.4299], [0.4044, 0.1412, 0.8089]], "total_energy_ev_per_atom": -4.470, "dos_ef_per_ev_cell": 4.726, "spacegroup": "No. 12", "vol_a3_per_cell": 354, "raw_formation_energy_mev_per_atom": -983}

---

{"formula": "ScIBr", "functional": "PBE-GGA", "state": "relaxed", "lattice": [[3.9110, 0.0000, 0.0000], [0.0000, 6.7015, -0.3685], [0.0000, -0.0244, 7.6613]], "species": ["I", "Br", "Sc", "I", "Sc", "Br"], "frac_coords": [[0.2500, 0.6011, 0.7502], [0.7500, 0.0971, 0.7056], [0.2500, 0.2573, 0.4985], [0.7500, 0.3989, 0.2498], [0.7500, 0.7427, 0.5015], [0.2500, 0.9029, 0.2944]], "total_energy_ev_per_atom": -4.494, "polymorph_energy_ev_per_atom": 0.000, "dos_ef_per_ev_cell": 4.709, "spacegroup": "No. 11", "vol_a3_per_cell": 201, "raw_formation_energy_mev_per_atom": -1309}

---

{"formula": "Sc3IBr", "functional": "PBE-GGA", "state": "relaxed", "lattice": [[5.0850, 0.0000, 0.0000], [0.0000, 5.0850, 0.0000], [0.0000, 0.0000, 5.0850]], "species": ["Sc", "Sc", "Br", "I", "Sc"], "frac_coords": [[0.0000, 0.5000, 0.0000], [0.5000, 0.0000, 0.0000], [0.0000, 0.0000, 0.0000], [0.5000, 0.5000, 0.5000], [0.0000, 0.0000, 0.5000]], "total_energy_ev_per_atom": -4.338, "polymorph_energy_ev_per_atom": 0.000, "dos_ef_per_ev_cell": 8.823, "spacegroup": "No. 221", "vol_a3_per_cell": 131, "raw_formation_energy_mev_per_atom": 105}

---

{"formula": "Sc3I4Br2", "functional": "PBE-GGA", "state": "relaxed", "lattice": [[3.8865, 0.0000, 0.0000], [-1.9433, 3.3658, 0.0000], [0.0000, 0.0000, 23.8000]], "species": ["Sc", "I", "Br", "Sc", "Br", "I", "I", "I", "Sc"], "frac_coords": [[0.0000, 0.0000, 0.3199], [0.6667, 0.3333, 0.5992], [0.0000, 0.0000, 0.9283], [0.6667, 0.3333, 0.0000], [0.0000, 0.0000, 0.0717], [0.6667, 0.3333, 0.7608], [0.6667, 0.3333, 0.2392], [0.6667, 0.3333, 0.4008], [0.0000, 0.0000, 0.6801]], "total_energy_ev_per_atom": -4.402, "dos_ef_per_ev_cell": 1.679, "spacegroup": "No. 187", "vol_a3_per_cell": 311, "raw_formation_energy_mev_per_atom": -1230}

---

{"formula": "ScIBr2", "functional": "PBE-GGA", "state": "relaxed", "lattice": [[-2.7130, 5.8650, 7.0151], [6.8219, -3.5741, 5.6265], [3.9281, 3.1820, 5.3427]], "species": ["Br", "Br", "I", "Sc", "Br", "I", "Sc", "Br"], "frac_coords": [[0.2607, 0.6250, 0.2500], [0.4893, 0.1250, 0.2500], [0.7500, 0.2500, 0.5000], [0.5000, 0.5000, 0.0000], [0.8750, 0.7393, 0.7500], [0.0000, 0.0000, 0.0000], [0.2500, 0.7500, 0.5000], [0.3750, 0.5107, 0.7500]], "total_energy_ev_per_atom": -4.063, "polymorph_energy_ev_per_atom": 0.237, "dos_ef_per_ev_cell": 0.000, "spacegroup": "No. 122", "vol_a3_per_cell": 267, "raw_formation_energy_mev_per_atom": -1256}

---

{"formula": "ScSeIBr2", "functional": "PBE-GGA", "state": "relaxed", "lattice": [[5.6178, 0.0000, 0.0000], [0.0000, 5.6178, 0.0000], [0.0000, 0.0000, 5.7782]], "species": ["Br", "I", "Br", "Sc", "Se"], "frac_coords": [[0.5000, 0.0000, 0.0000], [0.0000, 0.0000, 0.0000], [0.0000, 0.5000, 0.0000], [0.5000, 0.5000, 0.5000], [0.0000, 0.0000, 0.5000]], "total_energy_ev_per_atom": -2.546, "polymorph_energy_ev_per_atom": 1.165, "dos_ef_per_ev_cell": 9.940, "spacegroup": "No. 123", "vol_a3_per_cell": 182, "raw_formation_energy_mev_per_atom": 396}

---

{"formula": "ScSe2IBr", "functional": "PBE-GGA", "state": "relaxed", "lattice": [[-2.3158, -4.2583, 2.5333], [3.8627, 0.1998, 3.8669], [-3.1288, 3.4547, 2.9469]], "species": ["Sc", "Se", "Br", "Se", "I"], "frac_coords": [[0.5000, 0.5000, 0.5000], [0.0000, 0.5000, 0.0000], [0.0000, 0.0000, 0.5000], [0.5000, 0.0000, 0.0000], [0.0000, 0.0000, 0.0000]], "total_energy_ev_per_atom": -2.856, "polymorph_energy_ev_per_atom": 0.950, "dos_ef_per_ev_cell": 8.484, "spacegroup": "No. 123", "vol_a3_per_cell": 165, "raw_formation_energy_mev_per_atom": 449}